A plane-wave DFT calculation with PBE was carried out for a relaxed MgZnTeI2 crystal.

The structure in POSCAR format:
```
MgZnTeI2
1.0
-0.206 2.750 -4.743
-3.535 -3.694 -1.989
-4.266 3.035 1.945
Mg Zn I Te
1 1 2 1
Direct
0.500 0.500 0.500
0.000 0.000 0.000
0.000 0.500 0.000
0.500 0.000 0.000
0.000 0.000 0.500
```

## Properties
Distance to the lowest polymorph of the same formula = 0.037 eV per atom
Symmetry = No. 123

A plane-wave DFT calculation with PBE was carried out for a relaxed Ho2In3Au4 crystal.

The structure in POSCAR format:
```
Ho2In3Au4
1.0
-2.180 3.020 3.212
1.307 -0.092 4.739
6.575 6.557 -1.701
In Au Ho
3 4 2
Direct
0.333 0.334 0.422
0.000 0.000 0.000
0.667 0.666 0.578
0.001 0.999 0.666
0.333 0.333 0.099
0.999 0.001 0.334
0.667 0.667 0.901
0.334 0.333 0.784
0.666 0.667 0.216
```

## Properties
Symmetry = No. 12
ΔE_f = -0.571 eV/atom

A plane-wave DFT calculation with PBE was carried out for a relaxed Ca2BiF8 crystal.

The structure in POSCAR format:
```
Ca2BiF8
1.0
3.799 0.000 -1.156
-0.901 5.215 -2.962
0.012 0.371 6.859
Bi F Ca
1 8 2
Direct
0.500 0.000 0.000
0.117 0.117 0.235
0.338 0.571 0.677
0.338 0.106 0.677
0.000 0.335 0.000
0.662 0.894 0.323
0.000 0.665 0.000
0.662 0.429 0.323
0.883 0.883 0.765
0.813 0.313 0.627
0.187 0.687 0.373
```

## Properties
Symmetry = No. 71

A plane-wave DFT calculation with PBE was carried out for a relaxed Li4Hg5Sb crystal.

The structure in POSCAR format:
```
Li4Hg5Sb
1.0
4.444 0.000 -1.077
-0.609 6.389 -2.515
-0.448 -0.426 7.862
Hg Li Sb
5 4 1
Direct
0.826 0.798 0.651
0.831 0.361 0.661
0.174 0.202 0.349
0.500 0.500 0.000
0.169 0.639 0.339
0.330 0.077 0.659
0.670 0.923 0.341
0.989 0.236 0.978
0.011 0.764 0.022
0.500 0.000 0.000
```

## Properties
Symmetry = No. 12

The evaluated uncorrected energy for the records listed, in turn: -1.81 -3.96 -5.02 -1.62 eV per atom.